1.
Density functional theory data (PBE) for an optimized crystal structure of GdTc2O4.

The structure in POSCAR format:
```
GdTc2O4
1.0
4.495 -4.496 0.000
-4.495 0.000 -4.496
4.495 4.496 0.000
Gd O Tc
2 8 4
Direct
0.000 0.000 0.000
0.750 0.500 0.250
0.166 0.777 0.389
0.611 0.223 0.389
0.611 0.777 0.389
0.139 0.277 0.416
0.611 0.223 0.834
0.139 0.723 0.861
0.139 0.277 0.861
0.584 0.723 0.861
0.375 0.750 0.125
0.875 0.250 0.625
0.375 0.250 0.625
0.375 0.750 0.625
```

Results
- Space group: Fd-3m, No. 227
- Raw total energy: -7.957 eV per atom

2.
Density functional theory data (PBE) for an optimized crystal structure of Gd2TeO6.

The structure in POSCAR format:
```
Gd2TeO6
1.0
5.309 0.000 0.000
0.000 9.130 0.000
0.000 0.000 9.991
Gd O Te
8 24 4
Direct
0.476 0.896 0.038
0.037 0.218 0.135
0.963 0.718 0.365
0.524 0.396 0.462
0.024 0.104 0.538
0.463 0.782 0.635
0.537 0.282 0.865
0.976 0.604 0.962
0.251 0.413 0.006
0.577 0.653 0.024
0.730 0.387 0.067
0.183 0.642 0.179
0.330 0.052 0.204
0.688 0.860 0.237
0.312 0.360 0.263
0.670 0.552 0.296
0.817 0.142 0.321
0.270 0.887 0.433
0.423 0.153 0.476
0.749 0.913 0.494
0.249 0.587 0.506
0.923 0.347 0.524
0.770 0.613 0.567
0.317 0.358 0.679
0.170 0.948 0.704
0.812 0.140 0.737
0.188 0.640 0.763
0.830 0.448 0.796
0.683 0.858 0.821
0.230 0.113 0.933
0.077 0.847 0.976
0.751 0.087 0.994
0.459 0.505 0.147
0.541 0.005 0.353
0.041 0.495 0.647
0.959 0.995 0.853
```

Results
- Space group: P2_12_12_1, No. 19
- Raw total energy: -7.228 eV per atom

Please write out number 2 again, unchanged.
Density functional theory data (PBE) for an optimized crystal structure of Gd2TeO6.

The structure in POSCAR format:
```
Gd2TeO6
1.0
5.309 0.000 0.000
0.000 9.130 0.000
0.000 0.000 9.991
Gd O Te
8 24 4
Direct
0.476 0.896 0.038
0.037 0.218 0.135
0.963 0.718 0.365
0.524 0.396 0.462
0.024 0.104 0.538
0.463 0.782 0.635
0.537 0.282 0.865
0.976 0.604 0.962
0.251 0.413 0.006
0.577 0.653 0.024
0.730 0.387 0.067
0.183 0.642 0.179
0.330 0.052 0.204
0.688 0.860 0.237
0.312 0.360 0.263
0.670 0.552 0.296
0.817 0.142 0.321
0.270 0.887 0.433
0.423 0.153 0.476
0.749 0.913 0.494
0.249 0.587 0.506
0.923 0.347 0.524
0.770 0.613 0.567
0.317 0.358 0.679
0.170 0.948 0.704
0.812 0.140 0.737
0.188 0.640 0.763
0.830 0.448 0.796
0.683 0.858 0.821
0.230 0.113 0.933
0.077 0.847 0.976
0.751 0.087 0.994
0.459 0.505 0.147
0.541 0.005 0.353
0.041 0.495 0.647
0.959 0.995 0.853
```

Results
- Space group: P2_12_12_1, No. 19
- Raw total energy: -7.228 eV per atom